Entry 1:
Below is RbCaBeO2 after structural relaxation, with properties calculated at the PBE level.

a b c (Å): 4.603 5.408 4.603
angles (deg): 90.00 90.00 90.00
Site moments in Bohr magnetons follow the coordinates.
Fractional positions:
Be 0.000 0.500 0.000  0.01
Ca 0.000 0.000 0.000  0.02
Rb 0.500 0.500 0.500  0.01
O 0.500 0.000 0.000  -0.46
O 0.000 0.000 0.500  -0.44

Values from the calculation:
Its raw formation energy is -0.34 eV/atom. The total energy comes out at -18.291 eV/cell. The space-group type is No. 123.

Entry 2:
Below is Tm4MgTl3 after structural relaxation, with properties calculated at the PBE level.

a b c (Å): 5.318 5.317 8.323
angles (deg): 108.66 108.63 90.00
Fractional positions:
Tm 0.625 0.625 0.250
Tm 0.875 0.875 0.750
Tm 0.125 0.125 0.250
Tm 0.375 0.375 0.750
Tl 0.744 0.244 0.489
Tl 0.000 0.500 0.000
Tl 0.256 0.756 0.511
Mg 0.500 0.000 0.000

Values from the calculation:
Its calculated formation energy is -0.24 eV per atom. The total energy comes out at -28.530 eV/cell. The space-group type is No. 139.

Entry 3:
Below is Li3Ga3Pd2 after structural relaxation, with properties calculated at the PBE level.

a b c (Å): 4.336 4.336 7.528
angles (deg): 73.26 73.26 60.00
Fractional positions:
Ga 0.372 0.372 0.884
Ga 0.879 0.879 0.363
Ga 0.126 0.126 0.623
Li 0.750 0.750 0.749
Li 0.623 0.623 0.130
Li 0.250 0.250 0.251
Pd 0.003 0.003 0.992
Pd 0.497 0.497 0.509

Values from the calculation:
Its calculated formation energy is -0.56 eV per atom. The total energy comes out at -29.695 eV/cell. The space-group type is No. 160.